This record from Alexandria via LeMat-Bulk describes crystalline ScAl2Ag at its relaxed geometry. The functional is GGA-PBE.

```
data_ScAl2Ag
_cell_length_a 3.0765
_cell_length_b 4.4516
_cell_length_c 5.5370
_cell_angle_alpha 90.00
_cell_angle_beta 90.14
_cell_angle_gamma 90.00
_symmetry_space_group_name_H-M 'P 1'
_symmetry_Int_Tables_number 1
_symmetry_space_group_name_Hall 'P 1'
loop_
_atom_site_label
_atom_site_type_symbol
_atom_site_fract_x
_atom_site_fract_y
_atom_site_fract_z
_atom_site_occupancy
Sc1 Sc 0.0000 0.0000 0.0000 1
Al1 Al 0.4982 0.5000 0.7582 1
Al2 Al 0.5018 0.5000 0.2418 1
Ag1 Ag 0.5000 0.0000 0.5000 1
```

Results
calculated density: 4.53 g/cm3
space group: P2/m
formation energy from the elements: -104 kJ/mol of formula units
VASP energy: -4.4364 eV per atom